Record 1
An optimized crystal structure of HoTh7Sc3. Source: Alexandria, functional PBE.

a = 6.548 Å, b = 6.548 Å, c = 9.377 Å
α = 94.24°, β = 94.24°, γ = 120.12°
Fractional coordinates of all 11 atoms:
1 Ho 0.000 0.000 0.000
2 Th 0.000 0.000 0.500
3 Th 0.052 0.475 0.814
4 Th 0.383 0.383 0.313
5 Th 0.475 0.052 0.814
6 Th 0.525 0.948 0.186
7 Th 0.617 0.617 0.687
8 Th 0.948 0.525 0.186
9 Sc 0.275 0.725 0.500
10 Sc 0.500 0.500 0.000
11 Sc 0.725 0.275 0.500

Properties
The calculation puts the total magnetization at 0.00 μB/atom. The value obtained for the formation energy from the elements is 0.28 eV per atom.

=====

Record 2
An optimized crystal structure of TlNi2Bi2. Source: Alexandria, functional PBE.

a = 7.347 Å, b = 7.347 Å, c = 3.914 Å
α = 90.00°, β = 90.00°, γ = 90.00°
Fractional coordinates of all 10 atoms:
1 Tl 0.000 0.000 0.000
2 Tl 0.500 0.500 0.000
3 Ni 0.123 0.377 0.000
4 Ni 0.377 0.877 0.000
5 Ni 0.623 0.123 0.000
6 Ni 0.877 0.623 0.000
7 Bi 0.161 0.661 0.500
8 Bi 0.339 0.161 0.500
9 Bi 0.661 0.839 0.500
10 Bi 0.839 0.339 0.500

Properties
The calculation puts the total magnetization at 0.00 μB/atom. The value obtained for the formation energy from the elements is 0.19 eV per atom. As for the energy above the most stable polymorph in this dataset: 41 meV/atom.

=====

Record 3
An optimized crystal structure of ZrNb3Br. Source: Alexandria, functional PBE.

a = 4.767 Å, b = 4.767 Å, c = 4.767 Å
α = 90.00°, β = 90.00°, γ = 90.00°
Fractional coordinates of all 5 atoms:
1 Zr 0.000 0.000 0.000
2 Nb 0.000 0.500 0.500
3 Nb 0.500 0.000 0.500
4 Nb 0.500 0.500 0.000
5 Br 0.500 0.500 0.500

Properties
The calculation puts the total magnetization at 0.00 μB/atom. As for the energy above the most stable polymorph in this dataset: 0 meV/atom. As for the raw formation energy: 850 meV per atom.

=====

Record 4
An optimized crystal structure of BeNbSn3. Source: Alexandria, functional PBE.

a = 5.390 Å, b = 5.390 Å, c = 5.390 Å
α = 90.00°, β = 90.00°, γ = 90.00°
Fractional coordinates of all 5 atoms:
1 Be 0.000 0.000 0.000
2 Nb 0.500 0.500 0.500
3 Sn 0.000 0.500 0.500
4 Sn 0.500 0.000 0.500
5 Sn 0.500 0.500 0.000

Properties
The calculation puts the total magnetization at 0.00 μB/atom. The value obtained for the formation energy from the elements is 0.83 eV per atom. As for the energy above the most stable polymorph in this dataset: 33 meV/atom.

=====

Record 5
An optimized crystal structure of La4Cd2Ge. Source: Alexandria, functional PBE.

a = 6.636 Å, b = 6.636 Å, c = 5.458 Å
α = 90.00°, β = 90.00°, γ = 111.00°
Fractional coordinates of all 7 atoms:
1 La 0.000 0.500 0.500
2 La 0.240 0.240 0.000
3 La 0.500 0.000 0.500
4 La 0.760 0.760 0.000
5 Cd 0.259 0.741 0.000
6 Cd 0.741 0.259 0.000
7 Ge 0.000 0.000 0.500

Properties
The calculation puts the total magnetization at 0.00 μB/atom. The value obtained for the formation energy from the elements is -0.32 eV per atom.

=====

Record 6
An optimized crystal structure of Y4ZrZn. Source: Alexandria, functional PBE.

a = 6.269 Å, b = 6.269 Å, c = 6.269 Å
α = 60.00°, β = 60.00°, γ = 60.00°
Fractional coordinates of all 6 atoms:
1 Y 0.125 0.125 0.125
2 Y 0.125 0.125 0.624
3 Y 0.125 0.624 0.125
4 Y 0.624 0.125 0.125
5 Zr 0.500 0.500 0.500
6 Zn 0.750 0.750 0.750

Properties
The calculation puts the total magnetization at 0.28 μB/atom. The value obtained for the formation energy from the elements is 0.52 eV per atom.